1.
Hf2AlSeN after structural relaxation, computed with PBE.

Calculated values
As for the density: 8.86 Mg/m³. The value obtained for the uncorrected formation energy is -0.242 eV per atom.

Unit cell a=4.346 b=4.346 c=4.732 alpha=90.00 beta=90.00 gamma=90.00
Sites, in units of the cell vectors:
Hf 0.000 0.500 0.000
Hf 0.500 0.000 0.000
Al 0.000 0.000 0.500
Se 0.500 0.500 0.500
N 0.500 0.500 0.000

2.
SrHfAlN3 after structural relaxation, computed with PBE.

Calculated values
As for the density: 6.13 Mg/m³. The value obtained for the uncorrected formation energy is -1.273 eV per atom.

Unit cell a=7.134 b=3.335 c=7.828 alpha=90.00 beta=102.88 gamma=90.00
Sites, in units of the cell vectors:
Sr 0.189 0.250 0.212
Sr 0.811 0.750 0.788
Hf 0.346 0.750 0.869
Hf 0.654 0.250 0.131
Al 0.104 0.250 0.602
Al 0.896 0.750 0.398
N 0.139 0.250 0.847
N 0.168 0.750 0.520
N 0.443 0.750 0.136
N 0.557 0.250 0.864
N 0.832 0.250 0.480
N 0.861 0.750 0.153

3.
HfTa2AlN after structural relaxation, computed with PBE.

Calculated values
As for the density: 12.05 Mg/m³. The value obtained for the uncorrected formation energy is -0.542 eV per atom.

Unit cell a=4.180 b=4.180 c=4.583 alpha=90.00 beta=90.00 gamma=90.00
Sites, in units of the cell vectors:
Hf 0.000 0.000 0.000
Ta 0.000 0.500 0.500
Ta 0.500 0.000 0.500
Al 0.500 0.500 0.000
N 0.000 0.000 0.500

4.
Hf2TaAlN after structural relaxation, computed with PBE.

Calculated values
As for the density: 11.55 Mg/m³. The value obtained for the uncorrected formation energy is -0.668 eV per atom.

Unit cell a=4.502 b=4.502 c=4.109 alpha=90.00 beta=90.00 gamma=90.00
Sites, in units of the cell vectors:
Hf 0.000 0.500 0.000
Hf 0.500 0.000 0.000
Ta 0.000 0.000 0.500
Al 0.500 0.500 0.500
N 0.000 0.000 0.000

5.
HfAlTe2N after structural relaxation, computed with PBE.

Calculated values
As for the density: 7.39 Mg/m³. The value obtained for the uncorrected formation energy is 0.172 eV per atom.

Unit cell a=5.519 b=5.519 c=3.499 alpha=90.00 beta=90.00 gamma=90.00
Sites, in units of the cell vectors:
Hf 0.000 0.000 0.000
Al 0.500 0.500 0.500
Te 0.000 0.500 0.500
Te 0.500 0.000 0.500
N 0.500 0.500 0.000

6.
HfAlTeN2 after structural relaxation, computed with PBE.

Calculated values
As for the density: 5.90 Mg/m³. The value obtained for the uncorrected formation energy is 0.261 eV per atom.

Unit cell a=4.113 b=4.113 c=6.007 alpha=90.00 beta=90.00 gamma=90.00
Sites, in units of the cell vectors:
Hf 0.000 0.000 0.000
Al 0.500 0.500 0.500
Te 0.000 0.000 0.500
N 0.000 0.500 0.000
N 0.500 0.000 0.000